Record 1
# Dy3Er2 (PBE, relaxed)
# Energy relative to the elements (eV per atom): 0.14
data_Dy3Er2
_chemical_formula_sum 'Dy12 Er8'
_cell_length_a 6.566
_cell_length_b 15.679
_cell_length_c 6.098
_cell_angle_alpha 90.00
_cell_angle_beta 90.00
_cell_angle_gamma 90.00
_symmetry_space_group_name_H-M 'I b a m'
_symmetry_Int_Tables_number 72
_symmetry_space_group_name_Hall '-I 2 2c'
loop_
_atom_site_label
_atom_site_type_symbol
_atom_site_fract_x
_atom_site_fract_y
_atom_site_fract_z
_atom_site_occupancy
Dy1 Dy 0.000 0.000 0.250 1
Dy2 Dy 0.115 0.407 0.000 1
Er1 Er 0.146 0.192 0.000 1

Record 2
# RbIrRu (PBE, relaxed)
# Energy relative to the elements (eV per atom): 0.52
data_RbIrRu
_chemical_formula_sum 'Rb2 Ir2 Ru2'
_cell_length_a 5.280
_cell_length_b 4.102
_cell_length_c 7.017
_cell_angle_alpha 90.00
_cell_angle_beta 100.14
_cell_angle_gamma 90.00
_symmetry_space_group_name_H-M 'P 1 21/m 1'
_symmetry_Int_Tables_number 11
loop_
_symmetry_equiv_pos_as_xyz
'x,y,z'
'-x,-y,-z'
'-x,y+1/2,-z'
'x,-y+1/2,z'
loop_
_atom_site_label
_atom_site_type_symbol
_atom_site_fract_x
_atom_site_fract_y
_atom_site_fract_z
_atom_site_occupancy
Rb1 Rb 0.231 0.250 0.424 1
Ir1 Ir 0.113 0.250 0.939 1
Ru1 Ru 0.391 0.750 0.055 1

Record 3
# LuPaPd2 (PBE, relaxed)
# Energy relative to the elements (eV per atom): -0.37
data_LuPaPd2
_chemical_formula_sum 'Lu3 Pa3 Pd6'
_cell_length_a 3.2140
_cell_length_b 3.2140
_cell_length_c 27.9376
_cell_angle_alpha 90.00
_cell_angle_beta 90.00
_cell_angle_gamma 120.00
_symmetry_space_group_name_H-M 'R -3 m'
_symmetry_Int_Tables_number 166
_symmetry_space_group_name_Hall '-R 3 2"'
loop_
_atom_site_label
_atom_site_type_symbol
_atom_site_fract_x
_atom_site_fract_y
_atom_site_fract_z
_atom_site_occupancy
Lu1 Lu 0.0000 0.0000 0.0000 1
Pa1 Pa 0.0000 0.0000 0.5000 1
Pd1 Pd 0.0000 0.0000 0.2556 1

Record 4
# LiLaTa2O7 (PBE, relaxed)
# Formation energy (no corrections) (eV per atom): -2.94
data_LiLaTa2O7
_chemical_formula_sum 'Li2 La2 Ta4 O14'
_cell_length_a 3.901
_cell_length_b 3.901
_cell_length_c 20.136
_cell_angle_alpha 90.00
_cell_angle_beta 90.00
_cell_angle_gamma 90.00
_symmetry_space_group_name_H-M 'I -4 m 2'
_symmetry_Int_Tables_number 119
_symmetry_space_group_name_Hall 'I -4 -2'
loop_
_atom_site_label
_atom_site_type_symbol
_atom_site_fract_x
_atom_site_fract_y
_atom_site_fract_z
_atom_site_occupancy
Li1 Li 0.000 0.000 0.000 1
La1 La 0.000 0.500 0.750 1
Ta1 Ta 0.000 0.500 0.136 1
O1 O 0.000 0.000 0.156 1
O2 O 0.000 0.000 0.341 1
O3 O 0.000 0.500 0.046 1
O4 O 0.000 0.500 0.250 1

Record 5
# Tb4PmSm (PBE, relaxed)
# Energy relative to the elements (eV per atom): 0.01
data_Tb4PmSm
_chemical_formula_sum 'Tb8 Pm2 Sm2'
_cell_length_a 6.215
_cell_length_b 3.584
_cell_length_c 18.642
_cell_angle_alpha 90.00
_cell_angle_beta 109.42
_cell_angle_gamma 90.00
_symmetry_space_group_name_H-M 'P 1 21/c 1'
_symmetry_Int_Tables_number 14
loop_
_symmetry_equiv_pos_as_xyz
'x,y,z'
'-x,-y,-z'
'-x,y+1/2,-z+1/2'
'x,-y+1/2,z+1/2'
loop_
_atom_site_label
_atom_site_type_symbol
_atom_site_fract_x
_atom_site_fract_y
_atom_site_fract_z
_atom_site_occupancy
Tb1 Tb 0.165 0.001 0.332 1
Tb2 Tb 0.335 0.002 0.168 1
Pm1 Pm 0.000 0.000 0.500 1
Sm1 Sm 0.500 0.000 0.000 1

Record 6
# CsHfSb2Os (PBE, relaxed)
# Formation energy (no corrections) (eV per atom): 3.09
data_CsHfSb2Os
_chemical_formula_sum 'Cs1 Hf1 Sb2 Os1'
_cell_length_a 5.774
_cell_length_b 5.774
_cell_length_c 5.389
_cell_angle_alpha 90.00
_cell_angle_beta 90.00
_cell_angle_gamma 90.00
_symmetry_space_group_name_H-M 'P 4/m m m'
_symmetry_Int_Tables_number 123
_symmetry_space_group_name_Hall '-P 4 2'
loop_
_atom_site_label
_atom_site_type_symbol
_atom_site_fract_x
_atom_site_fract_y
_atom_site_fract_z
_atom_site_occupancy
Cs1 Cs 0.000 0.000 0.000 1
Hf1 Hf 0.000 0.000 0.500 1
Sb1 Sb 0.000 0.500 0.000 1
Os1 Os 0.500 0.500 0.500 1

no.,VASP energy (eV/atom)
1,-4.45
2,-5.85
3,-6.47
4,-8.87
5,-4.65
6,-2.97